Model 1:
The following is a DFT calculation (PBE) of an optimized crystal structure of VBiH3.

a = 4.2132 Å, b = 4.2132 Å, c = 4.2132 Å
α = 90.00°, β = 90.00°, γ = 90.00°
Fractional coordinates of all 5 atoms:
V  0.0000  0.0000  0.0000
Bi  0.5000  0.5000  0.5000
H  0.0000  0.5000  0.5000
H  0.5000  0.0000  0.5000
H  0.5000  0.5000  0.0000

Summary:
Space group: Pm-3m



Model 2:
The following is a DFT calculation (PBE) of an optimized crystal structure of VBiH3.

a = 3.7161 Å, b = 3.7161 Å, c = 3.7161 Å
α = 90.00°, β = 90.00°, γ = 90.00°
Fractional coordinates of all 5 atoms:
V  0.0000  0.0000  0.0000
Bi  0.5000  0.5000  0.5000
H  0.0000  0.0000  0.5000
H  0.0000  0.5000  0.0000
H  0.5000  0.0000  0.0000

Summary:
Space group: Pm-3m



Name the least stable of them. model 1.



Model 1:
The following is a DFT calculation (PBE) of an optimized crystal structure of VBi3H.

a = 4.8672 Å, b = 4.8672 Å, c = 4.8672 Å
α = 90.00°, β = 90.00°, γ = 90.00°
Fractional coordinates of all 5 atoms:
V  0.0000  0.0000  0.0000
Bi  0.0000  0.5000  0.5000
Bi  0.5000  0.0000  0.5000
Bi  0.5000  0.5000  0.0000
H  0.5000  0.5000  0.5000

Summary:
Space group: Pm-3m



Model 2:
The following is a DFT calculation (PBE) of an optimized crystal structure of VBi3H.

a = 5.2113 Å, b = 5.2113 Å, c = 5.2113 Å
α = 90.00°, β = 90.00°, γ = 90.00°
Fractional coordinates of all 5 atoms:
V  0.0000  0.0000  0.0000
Bi  0.0000  0.0000  0.5000
Bi  0.0000  0.5000  0.0000
Bi  0.5000  0.0000  0.0000
H  0.5000  0.5000  0.5000

Summary:
Space group: Pm-3m



Name the least stable of them. model 2.



Model 1:
The following is a DFT calculation (PBE) of an optimized crystal structure of BiH3W.

a = 3.7771 Å, b = 3.7771 Å, c = 3.7771 Å
α = 90.00°, β = 90.00°, γ = 90.00°
Fractional coordinates of all 5 atoms:
Bi  0.0000  0.0000  0.0000
H  0.0000  0.5000  0.5000
H  0.5000  0.0000  0.5000
H  0.5000  0.5000  0.0000
W  0.5000  0.5000  0.5000

Summary:
Space group: Pm-3m



Model 2:
The following is a DFT calculation (PBE) of an optimized crystal structure of BiH3W.

a = 3.9802 Å, b = 3.9802 Å, c = 3.9802 Å
α = 90.00°, β = 90.00°, γ = 90.00°
Fractional coordinates of all 5 atoms:
Bi  0.0000  0.0000  0.0000
H  0.0000  0.0000  0.5000
H  0.0000  0.5000  0.0000
H  0.5000  0.0000  0.0000
W  0.5000  0.5000  0.5000

Summary:
Space group: Pm-3m



Name the least stable of them. model 2.



Model 1:
The following is a DFT calculation (PBE) of an optimized crystal structure of YBiH.

a = 4.0279 Å, b = 6.2102 Å, c = 6.2774 Å
α = 104.22°, β = 108.70°, γ = 108.91°
Fractional coordinates of all 6 atoms:
Y  0.0403  0.2450  0.3362
Y  0.9597  0.7550  0.6638
Bi  0.2476  0.7714  0.2261
Bi  0.7524  0.2286  0.7739
H  0.3732  0.5926  0.6524
H  0.6268  0.4074  0.3476

Summary:
Space group: P-1



Model 2:
The following is a DFT calculation (PBE) of an optimized crystal structure of YBiH.

a = 3.6014 Å, b = 3.6014 Å, c = 12.0909 Å
α = 90.00°, β = 90.00°, γ = 120.00°
Fractional coordinates of all 6 atoms:
Y  0.3333  0.6667  0.3789
Y  0.6667  0.3333  0.6211
Bi  0.3333  0.6667  0.8439
Bi  0.6667  0.3333  0.1561
H  0.3333  0.6667  0.5607
H  0.6667  0.3333  0.4393

Summary:
Space group: P-3m1



Name the least stable of them. model 2.